{"formula": "LaTl2In", "functional": "PBE", "state": "relaxed", "magnetic_moment_mub_per_atom": 0.000, "ef_kj_per_mol_fu": -83, "lattice_angstrom": [[3.435, 0.000, 0.000], [0.000, 5.233, 0.000], [-0.367, 0.000, 6.550]], "species": ["La", "Tl", "Tl", "In"], "fractional_positions": [[0.000, 0.000, 0.000], [0.399, 0.500, 0.752], [0.601, 0.500, 0.248], [0.500, 0.000, 0.500]]}

---

{"formula": "La3Tl5In", "functional": "PBE", "state": "relaxed", "magnetic_moment_mub_per_atom": 0.000, "ef_kj_per_mol_fu": -317, "lattice_angstrom": [[9.569, 0.000, 0.000], [-4.785, 8.287, 0.000], [0.000, 0.000, 6.793]], "species": ["La", "La", "La", "La", "La", "La", "Tl", "Tl", "Tl", "Tl", "Tl", "Tl", "Tl", "Tl", "Tl", "Tl", "In", "In"], "fractional_positions": [[0.000, 0.337, 0.250], [0.000, 0.663, 0.750], [0.337, 0.000, 0.250], [0.337, 0.337, 0.750], [0.663, 0.000, 0.750], [0.663, 0.663, 0.250], [0.000, 0.329, 0.750], [0.000, 0.671, 0.250], [0.329, 0.000, 0.750], [0.329, 0.329, 0.250], [0.333, 0.667, 0.000], [0.333, 0.667, 0.500], [0.667, 0.333, 0.000], [0.667, 0.333, 0.500], [0.671, 0.000, 0.250], [0.671, 0.671, 0.750], [0.000, 0.000, 0.000], [0.000, 0.000, 0.500]]}

---

{"formula": "LaTl2In", "functional": "PBE", "state": "relaxed", "magnetic_moment_mub_per_atom": 0.000, "ef_kj_per_mol_fu": -26, "lattice_angstrom": [[1.916, -2.929, 0.000], [1.916, 2.929, 0.000], [0.000, 0.000, 10.753]], "species": ["La", "Tl", "Tl", "In"], "fractional_positions": [[0.000, 0.000, 0.000], [0.500, 0.500, 0.262], [0.500, 0.500, 0.738], [0.000, 0.000, 0.500]]}

---

{"formula": "La2Tl3In2", "functional": "PBE", "state": "relaxed", "magnetic_moment_mub_per_atom": 0.000, "ef_kj_per_mol_fu": -124, "lattice_angstrom": [[-4.800, 4.800, 4.800], [4.800, -4.800, 4.800], [4.800, 4.800, -4.800]], "species": ["La", "La", "La", "La", "Tl", "Tl", "Tl", "Tl", "Tl", "Tl", "In", "In", "In", "In"], "fractional_positions": [[0.000, 0.006, 0.500], [0.006, 0.500, 0.000], [0.494, 0.494, 0.494], [0.500, 0.000, 0.006], [0.244, 0.994, 0.250], [0.250, 0.244, 0.994], [0.256, 0.506, 0.750], [0.506, 0.750, 0.256], [0.750, 0.256, 0.506], [0.994, 0.250, 0.244], [0.000, 0.623, 0.500], [0.500, 0.000, 0.623], [0.623, 0.500, 0.000], [0.877, 0.877, 0.877]]}

---

{"formula": "La5TlIn6", "functional": "PBE", "state": "relaxed", "magnetic_moment_mub_per_atom": 0.000, "ef_kj_per_mol_fu": -521, "lattice_angstrom": [[-2.509, 4.727, 7.586], [2.509, -4.727, 7.586], [2.509, 4.727, -7.586]], "species": ["La", "La", "La", "La", "La", "Tl", "In", "In", "In", "In", "In", "In"], "fractional_positions": [[0.000, 0.000, 0.000], [0.169, 0.669, 0.500], [0.351, 0.351, 0.000], [0.649, 0.649, 0.000], [0.831, 0.331, 0.500], [0.500, 0.000, 0.500], [0.073, 0.828, 0.245], [0.240, 0.500, 0.740], [0.417, 0.172, 0.245], [0.583, 0.828, 0.755], [0.760, 0.500, 0.260], [0.927, 0.172, 0.755]]}

---

{"formula": "La4TlIn3", "functional": "PBE", "state": "relaxed", "magnetic_moment_mub_per_atom": 0.000, "ef_kj_per_mol_fu": -379, "lattice_angstrom": [[-2.793, 2.793, 7.976], [2.793, -2.793, 7.976], [2.793, 2.793, -7.976]], "species": ["La", "La", "La", "La", "Tl", "In", "In", "In"], "fractional_positions": [[0.126, 0.626, 0.500], [0.374, 0.874, 0.500], [0.626, 0.126, 0.500], [0.874, 0.374, 0.500], [0.000, 0.000, 0.000], [0.250, 0.250, 0.000], [0.500, 0.500, 0.000], [0.750, 0.750, 0.000]]}

---

{"formula": "LaTl2In", "functional": "PBE", "state": "relaxed", "magnetic_moment_mub_per_atom": 0.000, "ef_kj_per_mol_fu": -66, "lattice_angstrom": [[1.711, -13.568, 0.000], [1.711, 13.568, 0.000], [0.000, 0.000, 5.192]], "species": ["La", "La", "Tl", "Tl", "Tl", "Tl", "In", "In"], "fractional_positions": [[0.151, 0.849, 0.750], [0.849, 0.151, 0.250], [0.281, 0.719, 0.750], [0.467, 0.533, 0.250], [0.533, 0.467, 0.750], [0.719, 0.281, 0.250], [0.404, 0.596, 0.750], [0.596, 0.404, 0.250]]}

---

{"formula": "La3Tl3In2", "functional": "PBE", "state": "relaxed", "magnetic_moment_mub_per_atom": 0.000, "ef_kj_per_mol_fu": -319, "lattice_angstrom": [[2.393, -6.155, 0.000], [2.393, 6.155, 0.000], [0.000, 0.000, 16.531]], "species": ["La", "La", "La", "La", "La", "La", "Tl", "Tl", "Tl", "Tl", "Tl", "Tl", "In", "In", "In", "In"], "fractional_positions": [[0.062, 0.938, 0.611], [0.062, 0.938, 0.889], [0.342, 0.658, 0.750], [0.658, 0.342, 0.250], [0.938, 0.062, 0.111], [0.938, 0.062, 0.389], [0.375, 0.625, 0.538], [0.375, 0.625, 0.962], [0.393, 0.607, 0.250], [0.607, 0.393, 0.750], [0.625, 0.375, 0.038], [0.625, 0.375, 0.462], [0.228, 0.772, 0.114], [0.228, 0.772, 0.386], [0.772, 0.228, 0.614], [0.772, 0.228, 0.886]]}

---

{"formula": "La15Tl4In", "functional": "PBE", "state": "relaxed", "magnetic_moment_mub_per_atom": 0.000, "ef_kj_per_mol_fu": -491, "lattice_angstrom": [[5.067, 0.000, 0.000], [0.000, 5.067, 0.000], [0.000, 0.000, 25.337]], "species": ["La", "La", "La", "La", "La", "La", "La", "La", "La", "La", "La", "La", "La", "La", "La", "Tl", "Tl", "Tl", "Tl", "In"], "fractional_positions": [[0.000, 0.000, 0.000], [0.000, 0.000, 0.200], [0.000, 0.000, 0.400], [0.000, 0.000, 0.600], [0.000, 0.000, 0.800], [0.000, 0.500, 0.099], [0.000, 0.500, 0.300], [0.000, 0.500, 0.500], [0.000, 0.500, 0.700], [0.000, 0.500, 0.901], [0.500, 0.000, 0.099], [0.500, 0.000, 0.300], [0.500, 0.000, 0.500], [0.500, 0.000, 0.700], [0.500, 0.000, 0.901], [0.500, 0.500, 0.200], [0.500, 0.500, 0.400], [0.500, 0.500, 0.600], [0.500, 0.500, 0.800], [0.500, 0.500, 0.000]]}

---

{"formula": "La5Tl6In", "functional": "PBE", "state": "relaxed", "magnetic_moment_mub_per_atom": 0.000, "ef_kj_per_mol_fu": -442, "lattice_angstrom": [[8.152, -4.663, 0.000], [8.152, 4.663, 0.000], [-1.586, 0.000, 4.843]], "species": ["La", "La", "La", "La", "La", "Tl", "Tl", "Tl", "Tl", "Tl", "Tl", "In"], "fractional_positions": [[0.000, 0.000, 0.000], [0.172, 0.172, 0.672], [0.354, 0.354, 0.355], [0.646, 0.646, 0.645], [0.828, 0.828, 0.328], [0.075, 0.585, 0.830], [0.239, 0.761, 0.500], [0.415, 0.925, 0.170], [0.585, 0.075, 0.830], [0.761, 0.239, 0.500], [0.925, 0.415, 0.170], [0.500, 0.500, 0.000]]}

---

{"formula": "La5Tl3In", "functional": "PBE", "state": "relaxed", "magnetic_moment_mub_per_atom": 0.000, "ef_kj_per_mol_fu": -338, "lattice_angstrom": [[9.882, 0.000, 0.000], [-4.941, 8.558, 0.000], [0.000, 0.000, 6.870]], "species": ["La", "La", "La", "La", "La", "La", "La", "La", "La", "La", "Tl", "Tl", "Tl", "Tl", "Tl", "Tl", "In", "In"], "fractional_positions": [[0.000, 0.292, 0.250], [0.000, 0.708, 0.750], [0.292, 0.000, 0.250], [0.292, 0.292, 0.750], [0.333, 0.667, 0.000], [0.333, 0.667, 0.500], [0.667, 0.333, 0.000], [0.667, 0.333, 0.500], [0.708, 0.000, 0.750], [0.708, 0.708, 0.250], [0.000, 0.368, 0.750], [0.000, 0.632, 0.250], [0.368, 0.000, 0.750], [0.368, 0.368, 0.250], [0.632, 0.000, 0.250], [0.632, 0.632, 0.750], [0.000, 0.000, 0.000], [0.000, 0.000, 0.500]]}